[1]
! Pm6Pr8Tm (PBE-GGA, relaxed); values from VASP
! - total magnetization (μB/cell) = 0.00
! - density (g/cm³) = 6.8
! - energy relative to the elements (kcal/mol of atoms) = 2.5
! - space group = R-3 (148)
&SYSTEM
  ibrav = 0, nat = 15, ntyp = 3
/
ATOMIC_SPECIES
Pr 140.91 Pr.upf
Pm 145.00 Pm.upf
Tm 168.93 Tm.upf
CELL_PARAMETERS angstrom
-0.967 6.382 6.099
0.465 -2.514 8.505
7.298 2.383 4.464
ATOMIC_POSITIONS crystal
Pr 0.752 0.113 0.716
Pr 0.113 0.716 0.752
Pr 0.284 0.248 0.887
Pr 0.887 0.284 0.248
Pr 0.716 0.752 0.113
Pr 0.248 0.887 0.284
Pr 0.422 0.422 0.422
Pr 0.578 0.578 0.578
Pm 0.758 0.903 0.460
Pm 0.460 0.758 0.903
Pm 0.242 0.097 0.540
Pm 0.097 0.540 0.242
Pm 0.903 0.460 0.758
Pm 0.540 0.242 0.097
Tm 0.000 0.000 0.000

[2]
! PmPrTm (PBE-GGA, relaxed); values from VASP
! - total magnetization (μB/cell) = 0.00
! - density (g/cm³) = 7.5
! - energy above the most stable polymorph in this dataset (eV/atom) = 0.004
! - energy relative to the elements (kcal/mol of atoms) = 0.6
! - space group = I4mm (107)
&SYSTEM
  ibrav = 0, nat = 3, ntyp = 3
/
ATOMIC_SPECIES
Pm 145.00 Pm.upf
Tm 168.93 Tm.upf
Pr 140.91 Pr.upf
CELL_PARAMETERS angstrom
3.629 0.000 0.000
0.000 3.629 0.000
-1.815 -1.815 7.651
ATOMIC_POSITIONS crystal
Pm 0.330 0.330 0.661
Tm 0.668 0.668 0.335
Pr 0.002 0.002 0.004

[3]
! Pm11Pr4Tm9 (PBE-GGA, relaxed); values from VASP
! - total magnetization (μB/cell) = 0.00
! - density (g/cm³) = 7.7
! - energy relative to the elements (kcal/mol of atoms) = 1.6
! - space group = Cmmm (65)
&SYSTEM
  ibrav = 0, nat = 24, ntyp = 3
/
ATOMIC_SPECIES
Pm 145.00 Pm.upf
Tm 168.93 Tm.upf
Pr 140.91 Pr.upf
CELL_PARAMETERS angstrom
-2.668 -1.995 -1.639
5.711 3.622 -13.705
6.021 -12.801 5.781
ATOMIC_POSITIONS crystal
Pm 0.000 0.288 0.288
Pm 0.000 0.594 0.956
Pm 0.000 0.044 0.406
Pm 0.000 0.840 0.160
Pm 0.000 0.160 0.840
Pm 0.000 0.366 0.634
Pm 0.000 0.634 0.366
Pm 0.000 0.000 0.000
Pm 0.000 0.956 0.594
Pm 0.000 0.712 0.712
Pm 0.000 0.406 0.044
Tm 0.500 0.064 0.210
Tm 0.500 0.500 0.500
Tm 0.500 0.365 0.837
Tm 0.500 0.163 0.635
Tm 0.500 0.936 0.790
Tm 0.500 0.837 0.365
Tm 0.500 0.635 0.163
Tm 0.500 0.210 0.064
Tm 0.500 0.790 0.936
Pr 0.500 0.756 0.555
Pr 0.500 0.244 0.445
Pr 0.500 0.555 0.756
Pr 0.500 0.445 0.244

[4]
! Pm7Pr3Tm (PBE-GGA, relaxed); values from VASP
! - total magnetization (μB/cell) = 0.00
! - density (g/cm³) = 6.8
! - energy above the most stable polymorph in this dataset (eV/atom) = 0.066
! - energy relative to the elements (kcal/mol of atoms) = 5.3
! - space group = C2/m (12)
&SYSTEM
  ibrav = 0, nat = 11, ntyp = 3
/
ATOMIC_SPECIES
Pm 145.00 Pm.upf
Pr 140.91 Pr.upf
Tm 168.93 Tm.upf
CELL_PARAMETERS angstrom
-6.177 -0.490 -2.043
-2.811 -0.784 7.265
-1.522 7.552 1.379
ATOMIC_POSITIONS crystal
Pm 0.215 0.759 0.759
Pm 0.738 0.912 0.570
Pm 0.738 0.570 0.912
Pm 0.785 0.241 0.241
Pm 0.262 0.088 0.430
Pm 0.262 0.430 0.088
Pm 0.000 0.500 0.500
Pr 0.500 0.000 0.000
Pr 0.000 0.173 0.827
Pr 0.000 0.827 0.173
Tm 0.500 0.500 0.500

[5]
! PmPr8Tm5 (PBE-GGA, relaxed); values from VASP
! - total magnetization (μB/cell) = 0.00
! - density (g/cm³) = 7.2
! - energy relative to the elements (kcal/mol of atoms) = 5.5
! - space group = I-4 (82)
&SYSTEM
  ibrav = 0, nat = 14, ntyp = 3
/
ATOMIC_SPECIES
Pr 140.91 Pr.upf
Tm 168.93 Tm.upf
Pm 145.00 Pm.upf
CELL_PARAMETERS angstrom
8.603 -0.126 0.216
-3.029 8.053 -0.216
-2.545 -4.134 7.107
ATOMIC_POSITIONS crystal
Pr 0.570 0.912 0.839
Pr 0.666 0.396 0.925
Pr 0.730 0.259 0.334
Pr 0.529 0.604 0.270
Pr 0.075 0.741 0.471
Pr 0.161 0.730 0.073
Pr 0.343 0.270 0.430
Pr 0.927 0.088 0.657
Tm 0.871 0.908 0.182
Tm 0.818 0.689 0.725
Tm 0.500 0.000 0.500
Tm 0.036 0.311 0.129
Tm 0.275 0.092 0.964
Pm 0.250 0.500 0.750

[6]
! Pm6PrTm (PBE-GGA, relaxed); values from VASP
! - total magnetization (μB/cell) = 0.00
! - density (g/cm³) = 7.2
! - energy relative to the elements (kcal/mol of atoms) = 0.4
! - space group = P4/mmm (123)
&SYSTEM
  ibrav = 0, nat = 8, ntyp = 3
/
ATOMIC_SPECIES
Pm 145.00 Pm.upf
Pr 140.91 Pr.upf
Tm 168.93 Tm.upf
CELL_PARAMETERS angstrom
-3.617 0.119 -3.655
3.225 -2.320 -3.267
-3.446 -9.170 3.112
ATOMIC_POSITIONS crystal
Pm 0.000 0.500 0.253
Pm 0.500 0.000 0.253
Pm 0.500 0.500 0.000
Pm 0.000 0.500 0.747
Pm 0.500 0.000 0.747
Pm 0.500 0.500 0.500
Pr 0.000 0.000 0.000
Tm 0.000 0.000 0.500

[7]
! Pm7PrTm2 (PBE-GGA, relaxed); values from VASP
! - total magnetization (μB/cell) = 0.00
! - density (g/cm³) = 6.9
! - energy above the most stable polymorph in this dataset (eV/atom) = 0.000
! - energy relative to the elements (kcal/mol of atoms) = 8.8
! - space group = Cmmm (65)
&SYSTEM
  ibrav = 0, nat = 10, ntyp = 3
/
ATOMIC_SPECIES
Pm 145.00 Pm.upf
Tm 168.93 Tm.upf
Pr 140.91 Pr.upf
CELL_PARAMETERS angstrom
-0.076 1.183 -3.301
6.219 -7.825 -2.948
-9.941 -3.007 -0.849
ATOMIC_POSITIONS crystal
Pm 0.500 0.500 0.500
Pm 0.000 0.323 0.677
Pm 0.500 0.389 0.123
Pm 0.500 0.611 0.877
Pm 0.500 0.123 0.389
Pm 0.000 0.677 0.323
Pm 0.500 0.877 0.611
Tm 0.500 0.831 0.169
Tm 0.500 0.169 0.831
Pr 0.000 0.000 0.000

[8]
! Pm2Pr7Tm3 (PBE-GGA, relaxed); values from VASP
! - total magnetization (μB/cell) = 0.00
! - density (g/cm³) = 6.8
! - energy above the most stable polymorph in this dataset (eV/atom) = 0.191
! - energy relative to the elements (kcal/mol of atoms) = 6.5
! - space group = P2/m (10)
&SYSTEM
  ibrav = 0, nat = 12, ntyp = 3
/
ATOMIC_SPECIES
Pr 140.91 Pr.upf
Pm 145.00 Pm.upf
Tm 168.93 Tm.upf
CELL_PARAMETERS angstrom
-0.929 0.375 -5.440
2.372 -5.771 -0.803
-11.452 -4.925 1.616
ATOMIC_POSITIONS crystal
Pr 0.000 0.445 0.182
Pr 0.500 0.242 0.455
Pr 0.500 0.918 0.829
Pr 0.500 0.758 0.545
Pr 0.500 0.082 0.171
Pr 0.000 0.000 0.000
Pr 0.000 0.555 0.818
Pm 0.500 0.396 0.722
Pm 0.500 0.604 0.278
Tm 0.500 0.500 0.000
Tm 0.000 0.066 0.654
Tm 0.000 0.934 0.346

[9]
! Pm4Pr7Tm (PBE-GGA, relaxed); values from VASP
! - total magnetization (μB/cell) = 0.33
! - density (g/cm³) = 6.7
! - energy above the most stable polymorph in this dataset (eV/atom) = 0.197
! - energy relative to the elements (kcal/mol of atoms) = 4.8
! - space group = C2/m (12)
&SYSTEM
  ibrav = 0, nat = 12, ntyp = 3
/
ATOMIC_SPECIES
Pr 140.91 Pr.upf
Pm 145.00 Pm.upf
Tm 168.93 Tm.upf
CELL_PARAMETERS angstrom
-2.921 4.050 -3.527
-9.697 -0.580 2.067
-3.776 6.212 4.962
ATOMIC_POSITIONS crystal
Pr 0.500 0.000 0.000
Pr 0.081 0.565 0.273
Pr 0.207 0.126 0.461
Pr 0.793 0.223 0.192
Pr 0.793 0.874 0.539
Pr 0.207 0.777 0.808
Pr 0.919 0.435 0.727
Pm 0.573 0.301 0.553
Pm 0.327 0.390 0.957
Pm 0.427 0.699 0.447
Pm 0.673 0.610 0.043
Tm 0.000 0.000 0.000

[10]
! Pm5Pr12Tm (PBE-GGA, relaxed); values from VASP
! - total magnetization (μB/cell) = 0.00
! - density (g/cm³) = 6.7
! - energy relative to the elements (kcal/mol of atoms) = 0.2
! - space group = C2/m (12)
&SYSTEM
  ibrav = 0, nat = 18, ntyp = 3
/
ATOMIC_SPECIES
Pr 140.91 Pr.upf
Pm 145.00 Pm.upf
Tm 168.93 Tm.upf
CELL_PARAMETERS angstrom
-4.543 1.578 -4.223
0.275 -5.956 2.326
-9.450 6.219 14.108
ATOMIC_POSITIONS crystal
Pr 0.112 0.445 0.334
Pr 0.944 0.276 0.835
Pr 0.888 0.555 0.666
Pr 0.613 0.613 0.835
Pr 0.222 0.222 0.666
Pr 0.778 0.778 0.334
Pr 0.445 0.112 0.334
Pr 0.387 0.387 0.165
Pr 0.056 0.724 0.165
Pr 0.555 0.888 0.666
Pr 0.276 0.944 0.835
Pr 0.724 0.056 0.165
Pm 0.667 0.333 0.000
Pm 0.500 0.500 0.500
Pm 0.833 0.167 0.500
Pm 0.333 0.667 0.000
Pm 0.167 0.833 0.500
Tm 0.000 0.000 0.000

[11]
! Pm2Pr7Tm (PBE-GGA, relaxed); values from VASP
! - total magnetization (μB/cell) = 0.00
! - density (g/cm³) = 5.7
! - energy relative to the elements (kcal/mol of atoms) = 14.1
! - space group = Cmmm (65)
&SYSTEM
  ibrav = 0, nat = 10, ntyp = 3
/
ATOMIC_SPECIES
Pr 140.91 Pr.upf
Pm 145.00 Pm.upf
Tm 168.93 Tm.upf
CELL_PARAMETERS angstrom
5.551 0.000 0.000
0.000 9.577 -0.696
0.000 -4.941 8.233
ATOMIC_POSITIONS crystal
Pr 0.500 0.929 0.709
Pr 0.500 0.071 0.291
Pr 0.500 0.709 0.929
Pr 0.500 0.291 0.071
Pr 0.500 0.500 0.500
Pr 0.000 0.785 0.215
Pr 0.000 0.215 0.785
Pm 0.500 0.705 0.295
Pm 0.500 0.295 0.705
Tm 0.000 0.000 0.000

[12]
! Pm3Pr2Tm3 (PBE-GGA, relaxed); values from VASP
! - total magnetization (μB/cell) = 0.00
! - density (g/cm³) = 7.7
! - energy above the most stable polymorph in this dataset (eV/atom) = 0.000
! - energy relative to the elements (kcal/mol of atoms) = 0.5
! - space group = Immm (71)
&SYSTEM
  ibrav = 0, nat = 8, ntyp = 3
/
ATOMIC_SPECIES
Tm 168.93 Tm.upf
Pm 145.00 Pm.upf
Pr 140.91 Pr.upf
CELL_PARAMETERS angstrom
5.089 0.000 0.000
0.000 5.119 0.000
-2.545 -2.559 10.173
ATOMIC_POSITIONS crystal
Tm 0.877 0.877 0.754
Tm 0.123 0.123 0.246
Tm 0.000 0.500 0.000
Pm 0.500 0.000 0.000
Pm 0.378 0.378 0.756
Pm 0.622 0.622 0.244
Pr 0.750 0.250 0.499
Pr 0.250 0.750 0.501